1.
# K2Np2Te5 PBE-GGA relaxed
data_K2Np2Te5
_symmetry_space_group_name_H-M 'C m c e'
_symmetry_Int_Tables_number 64
_symmetry_space_group_name_Hall '-C 2ac 2'
_cell_length_a 17.3822
_cell_length_b 8.4092
_cell_length_c 8.4208
_cell_angle_alpha 90.00
_cell_angle_beta 90.00
_cell_angle_gamma 90.00
loop_
_atom_site_label
_atom_site_type_symbol
_atom_site_fract_x
_atom_site_fract_y
_atom_site_fract_z
K1 K 0.2050 0.0000 0.0000
Np1 Np 0.0000 0.1529 0.3471
Te1 Te 0.0000 0.0000 0.0000
Te2 Te 0.1153 0.1484 0.6482
# crystal system: orthorhombic
# raw formation energy: -800 meV per atom
# ρ: 6.42 g/cm³

***

2.
# KNpTe3 PBE-GGA relaxed
data_KNpTe3
_symmetry_space_group_name_H-M 'P m m n'
_symmetry_Int_Tables_number 59
_cell_length_a 4.2861
_cell_length_b 9.0275
_cell_length_c 9.0552
_cell_angle_alpha 90.00
_cell_angle_beta 90.00
_cell_angle_gamma 90.00
loop_
_symmetry_equiv_pos_as_xyz
'x,y,z'
'-x,-y,-z'
'-x+1/2,-y+1/2,z'
'x+1/2,y+1/2,-z'
'x+1/2,-y,-z'
'-x+1/2,y,z'
'-x,y+1/2,-z'
'x,-y+1/2,z'
loop_
_atom_site_label
_atom_site_type_symbol
_atom_site_fract_x
_atom_site_fract_y
_atom_site_fract_z
K1 K 0.2500 0.2500 0.0515
Np1 Np 0.2500 0.2500 0.5113
Te1 Te 0.2500 0.5683 0.6784
Te2 Te 0.2500 0.7500 0.2525
# crystal system: orthorhombic
# energy relative to the lowest polymorph listed for this composition: 0 meV/atom
# raw formation energy: -674 meV per atom
# ρ: 6.25 g/cm³

***

3.
# KNpTe PBE-GGA relaxed
data_KNpTe
_symmetry_space_group_name_H-M 'R -3 m'
_symmetry_Int_Tables_number 166
_symmetry_space_group_name_Hall '-R 3 2"'
_cell_length_a 3.9873
_cell_length_b 3.9873
_cell_length_c 42.9775
_cell_angle_alpha 90.00
_cell_angle_beta 90.00
_cell_angle_gamma 120.00
loop_
_atom_site_label
_atom_site_type_symbol
_atom_site_fract_x
_atom_site_fract_y
_atom_site_fract_z
K1 K 0.0000 0.0000 0.1187
Np1 Np 0.0000 0.0000 0.3450
Te1 Te 0.0000 0.0000 0.2731
# crystal system: trigonal
# raw formation energy: -321 meV per atom
# ρ: 6.80 g/cm³

***

4.
# KNpTe4 PBE-GGA relaxed
data_KNpTe4
_symmetry_space_group_name_H-M 'P 4/n b m'
_symmetry_Int_Tables_number 125
_cell_length_a 6.8498
_cell_length_b 6.8498
_cell_length_c 8.9204
_cell_angle_alpha 90.00
_cell_angle_beta 90.00
_cell_angle_gamma 90.00
loop_
_symmetry_equiv_pos_as_xyz
'x,y,z'
'-x,-y,-z'
'-y+1/2,x,z'
'y+1/2,-x,-z'
'-x+1/2,-y+1/2,z'
'x+1/2,y+1/2,-z'
'y,-x+1/2,z'
'-y,x+1/2,-z'
'x,-y+1/2,-z'
'-x,y+1/2,z'
'-y+1/2,-x+1/2,-z'
'y+1/2,x+1/2,z'
'-x+1/2,y,-z'
'x+1/2,-y,z'
'y,x,-z'
'-y,-x,z'
loop_
_atom_site_label
_atom_site_type_symbol
_atom_site_fract_x
_atom_site_fract_y
_atom_site_fract_z
K1 K 0.2500 0.2500 0.0000
Np1 Np 0.2500 0.2500 0.5000
Te1 Te 0.1013 0.6013 0.2934
# crystal system: tetragonal
# energy relative to the lowest polymorph listed for this composition: 0 meV/atom
# raw formation energy: -631 meV per atom
# ρ: 6.24 g/cm³

***

5.
# K4NpTe4 PBE-GGA relaxed
data_K4NpTe4
_symmetry_space_group_name_H-M 'I -4 2 m'
_symmetry_Int_Tables_number 121
_symmetry_space_group_name_Hall 'I -4 2'
_cell_length_a 8.4014
_cell_length_b 8.4014
_cell_length_c 14.2724
_cell_angle_alpha 90.00
_cell_angle_beta 90.00
_cell_angle_gamma 90.00
loop_
_atom_site_label
_atom_site_type_symbol
_atom_site_fract_x
_atom_site_fract_y
_atom_site_fract_z
K1 K 0.0000 0.0000 0.2014
K2 K 0.0000 0.5000 0.0000
Np1 Np 0.0000 0.0000 0.5000
Te1 Te 0.2048 0.2048 0.6157
# crystal system: tetragonal
# raw formation energy: -799 meV per atom
# ρ: 2.98 g/cm³

***

6.
# K5NpTe5 PBE-GGA relaxed
data_K5NpTe5
_symmetry_space_group_name_H-M 'C 1 2/m 1'
_symmetry_Int_Tables_number 12
_cell_length_a 16.2068
_cell_length_b 6.5723
_cell_length_c 9.5845
_cell_angle_alpha 90.00
_cell_angle_beta 108.71
_cell_angle_gamma 90.00
loop_
_symmetry_equiv_pos_as_xyz
'x,y,z'
'-x,-y,-z'
'-x,y,-z'
'x,-y,z'
'x+1/2,y+1/2,z'
'-x+1/2,-y+1/2,-z'
'-x+1/2,y+1/2,-z'
'x+1/2,-y+1/2,z'
loop_
_atom_site_label
_atom_site_type_symbol
_atom_site_fract_x
_atom_site_fract_y
_atom_site_fract_z
K1 K 0.0000 0.0000 0.0000
K2 K 0.1784 0.5000 0.3533
K3 K 0.1968 0.5000 0.8168
Np1 Np 0.0000 0.0000 0.5000
Te1 Te 0.0000 0.5000 0.5000
Te2 Te 0.1337 0.0000 0.3469
Te3 Te 0.1426 0.0000 0.7956
# crystal system: monoclinic
# raw formation energy: -863 meV per atom
# ρ: 3.68 g/cm³

***

7.
# KNpTe4 PBE-GGA relaxed
data_KNpTe4
_symmetry_space_group_name_H-M 'C 1 2/m 1'
_symmetry_Int_Tables_number 12
_cell_length_a 15.4662
_cell_length_b 7.6131
_cell_length_c 8.1587
_cell_angle_alpha 90.00
_cell_angle_beta 95.37
_cell_angle_gamma 90.00
loop_
_symmetry_equiv_pos_as_xyz
'x,y,z'
'-x,-y,-z'
'-x,y,-z'
'x,-y,z'
'x+1/2,y+1/2,z'
'-x+1/2,-y+1/2,-z'
'-x+1/2,y+1/2,-z'
'x+1/2,-y+1/2,z'
loop_
_atom_site_label
_atom_site_type_symbol
_atom_site_fract_x
_atom_site_fract_y
_atom_site_fract_z
K1 K 0.1959 0.0000 0.1766
Np1 Np 0.0425 0.5000 0.2671
Te1 Te 0.0000 0.2419 0.0000
Te2 Te 0.0876 0.2405 0.5569
Te3 Te 0.2283 0.5000 0.2374
# crystal system: monoclinic
# energy relative to the lowest polymorph listed for this composition: 140 meV/atom
# raw formation energy: -491 meV per atom
# ρ: 5.46 g/cm³

***

8.
# K2NpTe3 PBE-GGA relaxed
data_K2NpTe3
_symmetry_space_group_name_H-M 'C 1 2/m 1'
_symmetry_Int_Tables_number 12
_cell_length_a 8.0800
_cell_length_b 14.0050
_cell_length_c 8.6053
_cell_angle_alpha 90.00
_cell_angle_beta 108.55
_cell_angle_gamma 90.00
loop_
_symmetry_equiv_pos_as_xyz
'x,y,z'
'-x,-y,-z'
'-x,y,-z'
'x,-y,z'
'x+1/2,y+1/2,z'
'-x+1/2,-y+1/2,-z'
'-x+1/2,y+1/2,-z'
'x+1/2,-y+1/2,z'
loop_
_atom_site_label
_atom_site_type_symbol
_atom_site_fract_x
_atom_site_fract_y
_atom_site_fract_z
K1 K 0.0000 0.0000 0.0000
K2 K 0.0000 0.1550 0.5000
K3 K 0.0000 0.5000 0.5000
Np1 Np 0.0000 0.3323 0.0000
Te1 Te 0.2016 0.5000 0.2092
Te2 Te 0.2426 0.3147 0.7882
# crystal system: monoclinic
# energy relative to the lowest polymorph listed for this composition: 0 meV/atom
# raw formation energy: -912 meV per atom
# ρ: 5.02 g/cm³

***

9.
# K3NpTe4 PBE-GGA relaxed
data_K3NpTe4
_symmetry_space_group_name_H-M 'C m m m'
_symmetry_Int_Tables_number 65
_symmetry_space_group_name_Hall '-C 2 2'
_cell_length_a 9.9600
_cell_length_b 13.7680
_cell_length_c 4.6572
_cell_angle_alpha 90.00
_cell_angle_beta 90.00
_cell_angle_gamma 90.00
loop_
_atom_site_label
_atom_site_type_symbol
_atom_site_fract_x
_atom_site_fract_y
_atom_site_fract_z
K1 K 0.0000 0.0000 0.0000
K2 K 0.2500 0.2500 0.5000
Np1 Np 0.0000 0.5000 0.0000
Te1 Te 0.0000 0.2868 0.0000
Te2 Te 0.2044 0.5000 0.5000
# crystal system: orthorhombic
# raw formation energy: -842 meV per atom
# ρ: 4.50 g/cm³

***

10.
# K4Th3NpTe8 PBE-GGA relaxed
data_K4Th3NpTe8
_symmetry_space_group_name_H-M 'R -3 m'
_symmetry_Int_Tables_number 166
_symmetry_space_group_name_Hall '-R 3 2"'
_cell_length_a 9.0036
_cell_length_b 9.0036
_cell_length_c 25.2537
_cell_angle_alpha 90.00
_cell_angle_beta 90.00
_cell_angle_gamma 120.00
loop_
_atom_site_label
_atom_site_type_symbol
_atom_site_fract_x
_atom_site_fract_y
_atom_site_fract_z
K1 K 0.0000 0.0000 0.0000
K2 K 0.0000 0.5000 0.0000
Th1 Th 0.0000 0.5000 0.5000
Np1 Np 0.0000 0.0000 0.5000
Te1 Te 0.0000 0.0000 0.2401
Te2 Te 0.9999 0.5000 0.2392
# crystal system: trigonal
# raw formation energy: -1107 meV per atom
# ρ: 5.93 g/cm³

***

11.
# K3Th3NpTe8 PBE-GGA relaxed
data_K3Th3NpTe8
_symmetry_space_group_name_H-M 'R -3 m'
_symmetry_Int_Tables_number 166
_symmetry_space_group_name_Hall '-R 3 2"'
_cell_length_a 8.9731
_cell_length_b 8.9731
_cell_length_c 25.4788
_cell_angle_alpha 90.00
_cell_angle_beta 90.00
_cell_angle_gamma 120.00
loop_
_atom_site_label
_atom_site_type_symbol
_atom_site_fract_x
_atom_site_fract_y
_atom_site_fract_z
K1 K 0.0000 0.5000 0.0000
Th1 Th 0.0000 0.5000 0.5000
Np1 Np 0.0000 0.0000 0.5000
Te1 Te 0.0000 0.0000 0.2399
Te2 Te 0.0033 0.5017 0.7620
# crystal system: trigonal
# raw formation energy: -1108 meV per atom
# ρ: 5.81 g/cm³